! Hf2BiAs, relaxed, DFT GGA-PBEsol; values from VASP
&SYSTEM
  ibrav = 0, nat = 4, ntyp = 3
/
ATOMIC_SPECIES
As 74.92 As.upf
Hf 178.49 Hf.upf
Bi 208.98 Bi.upf
ATOMIC_POSITIONS angstrom
As 0.0000 0.0000 0.0000
Hf -1.6749 -2.2819 -0.9530
Hf -5.0247 -6.8457 -2.8590
Bi -3.3498 -4.5638 -1.9060
CELL_PARAMETERS angstrom
-4.0098 -1.2294 -2.4897
-0.0374 -4.0502 -2.7171
-2.6525 -3.8480 1.3948
! **Crystal system**: cubic
! **Raw total energy**: -7.890 eV/atom
! **Space-group type**: Fm-3m